# 1
The following is a DFT calculation (PBE-GGA) of a geometry-optimized Pa3B8Ir3 structure. Values from VASP.

Quantum ESPRESSO input file:
```
&SYSTEM
  ibrav = 0, nat = 14, ntyp = 3
/
ATOMIC_SPECIES
Pa 231.04 Pa.upf
B 10.81 B.upf
Ir 192.22 Ir.upf
CELL_PARAMETERS angstrom
3.301 0.000 0.000
1.650 7.197 -0.536
1.650 1.444 7.071
ATOMIC_POSITIONS crystal
Pa 0.500 0.500 0.500
Pa 0.795 0.205 0.205
Pa 0.205 0.795 0.795
B 0.650 0.099 0.602
B 0.350 0.901 0.398
B 0.650 0.602 0.099
B 0.350 0.398 0.901
B 0.817 0.860 0.505
B 0.183 0.140 0.495
B 0.817 0.505 0.860
B 0.183 0.495 0.140
Ir 0.500 0.000 0.000
Ir 0.000 0.772 0.228
Ir 0.000 0.228 0.772
```

Its space group is No. 71. The value obtained for the density of states at the Fermi level is 6.89 states/eV per cell. The energy of formation is -0.246 eV/atom.



# 2
The following is a DFT calculation (PBE-GGA) of a geometry-optimized MoRu structure. Values from VASP.

Quantum ESPRESSO input file:
```
&SYSTEM
  ibrav = 0, nat = 8, ntyp = 2
/
ATOMIC_SPECIES
Mo 95.94 Mo.upf
Ru 101.07 Ru.upf
CELL_PARAMETERS angstrom
-3.024 3.573 -1.506
-2.284 -2.932 -2.369
-3.275 -0.947 4.330
ATOMIC_POSITIONS crystal
Mo 0.113 0.250 0.113
Mo 0.387 0.750 0.613
Mo 0.613 0.250 0.387
Mo 0.887 0.750 0.887
Ru 0.088 0.250 0.628
Ru 0.412 0.750 0.128
Ru 0.588 0.250 0.872
Ru 0.912 0.750 0.372
```

Its space group is No. 62. The value obtained for the density of states at the Fermi level is 7.90 states/eV per cell. The energy of formation is 0.041 eV/atom.



# 3
The following is a DFT calculation (PBE-GGA) of a geometry-optimized PrCd5Hg4 structure. Values from VASP.

Quantum ESPRESSO input file:
```
&SYSTEM
  ibrav = 0, nat = 10, ntyp = 3
/
ATOMIC_SPECIES
Pr 140.91 Pr.upf
Cd 112.41 Cd.upf
Hg 200.59 Hg.upf
CELL_PARAMETERS angstrom
4.187 -0.724 -2.486
-0.831 6.390 -3.261
-2.034 1.209 10.884
ATOMIC_POSITIONS crystal
Pr 0.500 0.000 0.000
Cd 0.959 0.095 0.643
Cd 0.959 0.548 0.643
Cd 0.041 0.452 0.357
Cd 0.041 0.905 0.357
Cd 0.500 0.500 0.000
Hg 0.000 0.713 0.000
Hg 0.522 0.843 0.686
Hg 0.478 0.157 0.314
Hg 0.000 0.287 0.000
```

Its space group is No. 12. The value obtained for the density of states at the Fermi level is 3.89 states/eV per cell. The energy of formation is -0.121 eV/atom.



# 4
The following is a DFT calculation (PBE-GGA) of a geometry-optimized LiCe2Ru structure. Values from VASP.

Quantum ESPRESSO input file:
```
&SYSTEM
  ibrav = 0, nat = 4, ntyp = 3
/
ATOMIC_SPECIES
Ru 101.07 Ru.upf
Ce 140.12 Ce.upf
Li 6.94 Li.upf
CELL_PARAMETERS angstrom
3.425 0.000 0.000
0.000 3.425 0.000
0.000 0.000 8.178
ATOMIC_POSITIONS crystal
Ru 0.500 0.500 0.000
Ce 0.000 0.000 0.795
Ce 0.000 0.000 0.205
Li 0.500 0.500 0.500
```

Its space group is No. 123. The value obtained for the density of states at the Fermi level is 10.23 states/eV per cell. The energy above the most stable polymorph in this dataset is 0.0202 eV/atom. The energy of formation is -0.067 eV/atom.



# 5
The following is a DFT calculation (PBE-GGA) of a geometry-optimized CoNiSb structure. Values from VASP.

Quantum ESPRESSO input file:
```
&SYSTEM
  ibrav = 0, nat = 3, ntyp = 3
/
ATOMIC_SPECIES
Co 58.93 Co.upf
Ni 58.69 Ni.upf
Sb 121.76 Sb.upf
CELL_PARAMETERS angstrom
-1.034 -2.919 2.663
-0.551 -0.599 -4.003
2.776 -1.172 -0.207
ATOMIC_POSITIONS crystal
Co 0.000 0.000 0.947
Ni 0.667 0.333 0.384
Sb 0.333 0.667 0.669
```

Its space group is No. 156. The value obtained for the density of states at the Fermi level is 2.30 states/eV per cell. Its uncorrected formation energy is 46.0 kJ/mol of formula units.



# 6
The following is a DFT calculation (PBE-GGA) of a geometry-optimized FeAsOs structure. Values from VASP.

Quantum ESPRESSO input file:
```
&SYSTEM
  ibrav = 0, nat = 3, ntyp = 3
/
ATOMIC_SPECIES
As 74.92 As.upf
Fe 55.84 Fe.upf
Os 190.23 Os.upf
CELL_PARAMETERS angstrom
4.167 0.000 0.000
-2.083 3.609 0.000
0.000 0.000 2.867
ATOMIC_POSITIONS crystal
As 0.000 0.000 0.834
Fe 0.667 0.333 0.333
Os 0.333 0.667 0.833
```

Its space group is No. 187. The value obtained for the density of states at the Fermi level is 2.44 states/eV per cell. The energy above the most stable polymorph in this dataset is 0.0824 eV/atom. The energy of formation is 0.262 eV/atom.



# 7
The following is a DFT calculation (PBE-GGA) of a geometry-optimized BaCaBi4O8 structure. Values from VASP.

Quantum ESPRESSO input file:
```
&SYSTEM
  ibrav = 0, nat = 14, ntyp = 4
/
ATOMIC_SPECIES
Ba 137.33 Ba.upf
Ca 40.08 Ca.upf
Bi 208.98 Bi.upf
O 16.00 O.upf
CELL_PARAMETERS angstrom
3.201 -5.544 0.000
3.201 5.544 0.000
0.000 0.000 7.622
ATOMIC_POSITIONS crystal
Ba 0.000 0.000 0.000
Ca 0.000 0.000 0.500
Bi 0.333 0.667 0.725
Bi 0.667 0.333 0.725
Bi 0.333 0.667 0.275
Bi 0.667 0.333 0.275
O 0.290 0.290 0.709
O 0.710 0.000 0.709
O 0.000 0.710 0.709
O 0.710 0.710 0.291
O 0.000 0.290 0.291
O 0.290 0.000 0.291
O 0.333 0.667 0.000
O 0.667 0.333 0.000
```

Its space group is No. 162. The energy above the most stable polymorph in this dataset is 0.0882 eV/atom. Its uncorrected formation energy is -2115.0 kJ/mol of formula units.



# 8
The following is a DFT calculation (PBE-GGA) of a geometry-optimized CaCoP4 structure. Values from VASP.

Quantum ESPRESSO input file:
```
&SYSTEM
  ibrav = 0, nat = 6, ntyp = 3
/
ATOMIC_SPECIES
Ca 40.08 Ca.upf
Co 58.93 Co.upf
P 30.97 P.upf
CELL_PARAMETERS angstrom
4.830 0.759 1.696
0.850 3.000 4.130
1.538 -2.118 4.464
ATOMIC_POSITIONS crystal
Ca 0.750 0.750 0.750
Co 0.000 0.000 0.000
P 0.368 0.896 0.368
P 0.896 0.368 0.368
P 0.368 0.368 0.896
P 0.368 0.368 0.368
```

Its space group is No. 216. The value obtained for the density of states at the Fermi level is 4.64 states/eV per cell. The energy of formation is 0.285 eV/atom.



# 9
The following is a DFT calculation (PBE-GGA) of a geometry-optimized HgRh2F8 structure. Values from VASP.

Quantum ESPRESSO input file:
```
&SYSTEM
  ibrav = 0, nat = 11, ntyp = 3
/
ATOMIC_SPECIES
Rh 102.91 Rh.upf
Hg 200.59 Hg.upf
F 19.00 F.upf
CELL_PARAMETERS angstrom
4.083 -0.006 0.007
-0.015 5.938 -3.531
0.013 -0.021 7.029
ATOMIC_POSITIONS crystal
Rh 0.249 0.330 0.667
Rh 0.751 0.670 0.333
Hg 0.000 0.000 0.000
F 0.251 0.672 0.336
F 0.749 0.328 0.663
F 0.748 0.753 0.098
F 0.255 0.103 0.339
F 0.258 0.662 0.763
F 0.252 0.247 0.902
F 0.745 0.897 0.661
F 0.742 0.338 0.237
```

Its space group is No. 2. The value obtained for the density of states at the Fermi level is 7.28 states/eV per cell. Its uncorrected formation energy is -1250.4 kJ/mol of formula units.



# 10
The following is a DFT calculation (PBE-GGA) of a geometry-optimized NaGaRh3 structure. Values from VASP.

Quantum ESPRESSO input file:
```
&SYSTEM
  ibrav = 0, nat = 5, ntyp = 3
/
ATOMIC_SPECIES
Na 22.99 Na.upf
Rh 102.91 Rh.upf
Ga 69.72 Ga.upf
CELL_PARAMETERS angstrom
4.637 0.000 0.000
0.000 4.637 0.000
0.000 0.000 4.637
ATOMIC_POSITIONS crystal
Na 0.500 0.500 0.500
Rh 0.000 0.500 0.000
Rh 0.000 0.000 0.500
Rh 0.500 0.000 0.000
Ga 0.000 0.000 0.000
```

Its space group is No. 221. The value obtained for the density of states at the Fermi level is 5.56 states/eV per cell. The energy above the most stable polymorph in this dataset is 0.0000 eV/atom. The energy of formation is 0.580 eV/atom.



# 11
The following is a DFT calculation (PBE-GGA) of a geometry-optimized Dy5Er2Sc12 structure. Values from VASP.

Quantum ESPRESSO input file:
```
&SYSTEM
  ibrav = 0, nat = 19, ntyp = 3
/
ATOMIC_SPECIES
Dy 162.50 Dy.upf
Er 167.26 Er.upf
Sc 44.96 Sc.upf
CELL_PARAMETERS angstrom
-0.051 2.998 -8.123
-7.208 -0.465 4.489
1.705 7.551 2.777
ATOMIC_POSITIONS crystal
Dy 0.235 0.469 0.574
Dy 0.287 0.574 0.985
Dy 0.000 0.000 0.500
Dy 0.713 0.426 0.015
Dy 0.765 0.531 0.426
Er 0.678 0.000 0.000
Er 0.322 0.000 0.000
Sc 0.931 0.862 0.129
Sc 0.031 0.707 0.753
Sc 0.676 0.707 0.753
Sc 0.182 0.741 0.333
Sc 0.559 0.741 0.333
Sc 0.448 0.895 0.663
Sc 0.552 0.105 0.337
Sc 0.818 0.259 0.667
Sc 0.441 0.259 0.667
Sc 0.969 0.293 0.247
Sc 0.324 0.293 0.247
Sc 0.069 0.138 0.871
```

Its space group is No. 12. The value obtained for the density of states at the Fermi level is 27.01 states/eV per cell. The energy of formation is 0.130 eV/atom.



# 12
The following is a DFT calculation (PBE-GGA) of a geometry-optimized NaNbReO6 structure. Values from VASP.

Quantum ESPRESSO input file:
```
&SYSTEM
  ibrav = 0, nat = 18, ntyp = 4
/
ATOMIC_SPECIES
Na 22.99 Na.upf
Nb 92.91 Nb.upf
Re 186.21 Re.upf
O 16.00 O.upf
CELL_PARAMETERS angstrom
-2.135 4.708 -1.266
-2.436 -4.503 -1.452
-5.269 -0.006 8.863
ATOMIC_POSITIONS crystal
Na 0.000 0.000 0.000
Na 0.000 0.000 0.500
Nb 0.667 0.333 0.250
Nb 0.333 0.667 0.750
Re 0.333 0.667 0.250
Re 0.667 0.333 0.750
O 0.614 0.626 0.146
O 0.012 0.386 0.146
O 0.386 0.012 0.646
O 0.988 0.614 0.854
O 0.374 0.386 0.354
O 0.012 0.626 0.354
O 0.626 0.012 0.854
O 0.614 0.988 0.354
O 0.988 0.374 0.646
O 0.374 0.988 0.146
O 0.626 0.614 0.646
O 0.386 0.374 0.854
```

Its space group is No. 163. The value obtained for the density of states at the Fermi level is 7.00 states/eV per cell. Its uncorrected formation energy is -1668.9 kJ/mol of formula units.



# 13
The following is a DFT calculation (PBE-GGA) of a geometry-optimized Ho4GaTe3 structure. Values from VASP.

Quantum ESPRESSO input file:
```
&SYSTEM
  ibrav = 0, nat = 8, ntyp = 3
/
ATOMIC_SPECIES
Ho 164.93 Ho.upf
Ga 69.72 Ga.upf
Te 127.60 Te.upf
CELL_PARAMETERS angstrom
-4.016 -1.267 0.707
2.197 -7.162 -0.357
0.505 2.360 7.101
ATOMIC_POSITIONS crystal
Ho 0.000 0.226 0.226
Ho 0.500 0.766 0.234
Ho 0.000 0.774 0.774
Ho 0.500 0.234 0.766
Ga 0.500 0.000 0.000
Te 0.000 0.000 0.500
Te 0.500 0.500 0.500
Te 0.000 0.500 0.000
```

Its space group is No. 65. The value obtained for the density of states at the Fermi level is 2.62 states/eV per cell. The energy above the most stable polymorph in this dataset is 0.0128 eV/atom. Its uncorrected formation energy is -885.9 kJ/mol of formula units.